## CoCl4 (GGA-PBE)

Data for CoCl4 after structural relaxation.

The calculation puts the total magnetization at 3.8 μB per cell.

The space group is Pm-3m (No. 221) and the conventional cell measures 4.682, 4.682 and 4.682 Å, with angles of 90.00, 90.00 and 90.00 degrees. The distinct sites, in fractional coordinates, are Co at (0.000, 0.000, 0.000), Cl at (0.000, 0.000, 0.500) and Cl at (0.500, 0.500, 0.500).

---

## Co3Cl (GGA-PBE)

Data for Co3Cl after structural relaxation.

The calculation puts the energy above the most stable polymorph in this dataset at 497 meV per atom. The calculation puts the total magnetization at 10.9 μB per cell.

The space group is I4/mmm (No. 139) and the conventional cell measures 3.572, 3.572 and 7.885 Å, with angles of 90.00, 90.00 and 90.00 degrees. The distinct sites, in fractional coordinates, are Co at (0.000, 0.000, 0.000), Co at (0.000, 0.500, 0.250) and Cl at (0.000, 0.000, 0.500).

---

## Co3Cl2 (GGA-PBE)

Data for Co3Cl2 after structural relaxation.

The calculation puts the total magnetization at 40.4 μB per cell.

The space group is Fdd2 (No. 43) and the conventional cell measures 8.356, 11.948 and 6.098 Å, with angles of 90.00, 90.00 and 90.00 degrees. The distinct sites, in fractional coordinates, are Co at (0.000, 0.000, 0.000), Co at (0.118, 0.420, 0.174) and Cl at (0.061, 0.212, 0.542).

---

## CoCl3 (GGA-PBE)

Data for CoCl3 after structural relaxation.

The calculation puts the total magnetization at 4.0 μB per cell.

The space group is Pm-3m (No. 221) and the conventional cell measures 4.317, 4.317 and 4.317 Å, with angles of 90.00, 90.00 and 90.00 degrees. The distinct sites, in fractional coordinates, are Co at (0.000, 0.000, 0.000) and Cl at (0.000, 0.500, 0.500).

---

## CoCl2 (GGA-PBE)

Data for CoCl2 after structural relaxation.

The calculation puts the total magnetization at 6.0 μB per cell.

The space group is I4/mmm (No. 139) and the conventional cell measures 3.093, 3.093 and 13.430 Å, with angles of 90.00, 90.00 and 90.00 degrees. The distinct sites, in fractional coordinates, are Co at (0.000, 0.000, 0.000) and Cl at (0.000, 0.000, 0.390).

---

## Co3Cl (GGA-PBE)

Data for Co3Cl after structural relaxation.

The calculation puts the energy above the most stable polymorph in this dataset at 121 meV per atom. The calculation puts the total magnetization at 5.6 μB per cell.

The space group is P4/mmm (No. 123) and the conventional cell measures 2.894, 2.894 and 6.269 Å, with angles of 90.00, 90.00 and 90.00 degrees. The distinct sites, in fractional coordinates, are Co at (0.000, 0.000, 0.000), Co at (0.500, 0.500, 0.214) and Cl at (0.000, 0.000, 0.500).

---

Number 1: ΔE_f (raw) 0.0319 eV/atom. Number 2: ΔE_f (raw) 0.7412 eV/atom. Number 3: ΔE_f (raw) 0.2112 eV/atom. Number 4: ΔE_f (raw) 0.7003 eV/atom. Number 5: ΔE_f (raw) -0.1394 eV/atom. Number 6: ΔE_f (raw) 0.3658 eV/atom.